This record from Alexandria via LeMat-Bulk describes an optimized crystal structure of LaZrAsBr2. The functional is PBE-GGA.

The value obtained for the density of states at the Fermi level is 4.9 states/eV per cell. The calculation puts the total energy at -4.437 eV/atom. For the total magnetic moment, the calculation gives 2.03 μB/f.u. For the formation energy (no corrections), the calculation gives -0.143 eV per atom. The calculation puts the theoretical density at 4.08 g cm⁻³.

Cell: 5.625 5.625 5.975 Å, 90.00 90.00 90.00°
Space group P4/mmm (No. 123)
Symmetry-distinct sites (fractional):
La 0.000 0.000 0.000 (multiplicity 1)
Zr 0.500 0.500 0.500 (multiplicity 1)
As 0.000 0.000 0.500 (multiplicity 1)
Br 0.000 0.500 0.000 (multiplicity 2)